Entry from the Alexandria database: a relaxed structure of Zr2CoIr (PBE).

a = 7.075 Å, b = 7.075 Å, c = 5.779 Å
α = 52.26°, β = 52.26°, γ = 90.00°
Fractional positions:
Ir: 0.000 0.000 0.000
Ir: 0.750 0.250 0.500
Co: 0.500 0.500 0.000
Co: 0.250 0.750 0.500
Zr: 0.610 0.125 0.250
Zr: 0.140 0.625 0.250
Zr: 0.375 0.390 0.750
Zr: 0.875 0.860 0.750

Properties
The total magnetic moment is 0.00 μB/f.u. The value obtained for the energy of formation from the pure elements is -0.086 eV per atom. The value obtained for the raw total energy is -0.6138 Ry per atom. As for the symmetry: I-42d, No. 122.